# Mg2MoRh PBE-GGA optimized geometry
# * density of states at the Fermi level: 0.615 states/eV/atom
# * energy above the lowest structure with this stoichiometry: 176 meV/atom
# * formation enthalpy at 0 K: 0.08 eV/atom
# * final energy: -21.05 eV/cell
data_Mg2MoRh
_cell_length_a 2.813
_cell_length_b 4.467
_cell_length_c 5.333
_cell_angle_alpha 90.00
_cell_angle_beta 103.57
_cell_angle_gamma 90.00
_space_group_name_H-M_alt 'P 1 2/m 1'
_space_group_IT_number 10
loop_
_space_group_symop_operation_xyz
'x,y,z'
'-x,-y,-z'
'-x,y,-z'
'x,-y,z'
loop_
_atom_site_label
_atom_site_fract_x
_atom_site_fract_y
_atom_site_fract_z
Mg1 0.201 0.000 0.258
Mo1 0.500 0.500 0.000
Rh1 0.000 0.500 0.500

---

# TiGaSn2 PBE-GGA optimized geometry
# * density of states at the Fermi level: 0.747 states/eV/atom
# * formation enthalpy at 0 K: 0.33 eV/atom
# * final energy: -52.85 eV/cell
data_TiGaSn2
_cell_length_a 3.1510
_cell_length_b 3.1510
_cell_length_c 33.1486
_cell_angle_alpha 90.00
_cell_angle_beta 90.00
_cell_angle_gamma 120.00
_space_group_name_H-M_alt 'R -3 m'
_space_group_IT_number 166
_space_group_name_Hall '-R 3 2"'
loop_
_atom_site_label
_atom_site_fract_x
_atom_site_fract_y
_atom_site_fract_z
Ti1 0.0000 0.0000 0.0000
Ga1 0.0000 0.0000 0.5000
Sn1 0.0000 0.0000 0.0848

---

# GaCo3H PBE-GGA optimized geometry
# * density of states at the Fermi level: 0.704 states/eV/atom
# * energy above the lowest structure with this stoichiometry: 18 meV/atom
# * final energy: -112.51 eV/cell
data_GaCo3H
_cell_length_a 3.559
_cell_length_b 3.674
_cell_length_c 14.695
_cell_angle_alpha 90.00
_cell_angle_beta 90.00
_cell_angle_gamma 90.00
_space_group_name_H-M_alt 'I m m a'
_space_group_IT_number 74
_space_group_name_Hall '-I 2b 2'
loop_
_atom_site_label
_atom_site_fract_x
_atom_site_fract_y
_atom_site_fract_z
Ga1 0.000 0.250 0.070
Co1 0.000 0.250 0.307
Co2 0.000 0.250 0.558
Co3 0.000 0.250 0.809
H1 0.000 0.250 0.679

---

Volume across the listed records, respectively: 16.28; 23.75; 9.61 A^3/atom.